Below is an optimized crystal structure of TaMnP, with properties calculated at the PBE-GGA level.

The structure in POSCAR format:
```
TaMnP
1.0
6.100 0.000 0.000
0.000 3.627 0.000
0.000 0.000 7.072
Ta Mn P
4 4 4
Direct
0.026 0.250 0.176
0.474 0.750 0.676
0.526 0.250 0.324
0.974 0.750 0.824
0.145 0.250 0.559
0.355 0.750 0.059
0.645 0.250 0.941
0.855 0.750 0.441
0.224 0.750 0.375
0.276 0.250 0.875
0.724 0.750 0.125
0.776 0.250 0.625
```

Its total energy is -114.9 eV/cell.

***

Below is an optimized crystal structure of Ta2MnP, with properties calculated at the PBE-GGA level.

The structure in POSCAR format:
```
Ta2MnP
1.0
3.265 0.000 0.000
0.000 3.265 0.000
0.000 0.000 5.608
Ta Mn P
2 1 1
Direct
0.000 0.000 0.245
0.000 0.000 0.755
0.500 0.500 0.500
0.500 0.500 0.000
```

Its total energy is -39.1 eV/cell.